Entry 1:
## CeSi2Ni9 (PBE)

Data for CeSi2Ni9 after structural relaxation.

Summary:
The spin magnetization comes out at 0.00 μB/f.u. For the total energy, the calculation gives -149.18 eV for the cell shown. As for the uncorrected formation energy: -481 meV/atom. The calculation puts the density of states at the Fermi level at 12.43 states/eV/cell.

Cell and atoms, written as POSCAR:
```
CeSi2Ni9
1.0
-4.9045 4.9045 3.0881
4.9045 -4.9045 3.0881
4.9045 4.9045 -3.0881
Ce Si Ni
2 4 18
direct
0.3750 0.6250 0.7500
0.6250 0.3750 0.2500
0.0000 0.0000 0.0000
0.0000 0.0000 0.5000
0.0000 0.5000 0.0000
0.5000 0.0000 0.5000
0.1250 0.8750 0.2500
0.1385 0.5621 0.3286
0.1385 0.8099 0.5764
0.1901 0.2665 0.3286
0.1901 0.8615 0.9236
0.2665 0.1901 0.8286
0.2665 0.4379 0.0764
0.4379 0.2665 0.5764
0.4379 0.8615 0.1714
0.5621 0.1385 0.8286
0.5621 0.7335 0.4236
0.7335 0.5621 0.9236
0.7335 0.8099 0.1714
0.8099 0.1385 0.0764
0.8099 0.7335 0.6714
0.8615 0.1901 0.4236
0.8615 0.4379 0.6714
0.8750 0.1250 0.7500
```

Entry 2:
## HgAsC2 (PBE)

Data for HgAsC2 after structural relaxation.

Summary:
The spin magnetization comes out at 0.00 μB/f.u. For the total energy, the calculation gives -35.72 eV for the cell shown. The formation energy is 133.6 kJ/mol of atoms. The calculation puts the density of states at the Fermi level at 3.74 states/eV/cell.

Cell and atoms, written as POSCAR:
```
HgAsC2
1.0
-2.5217 2.5217 4.5618
2.5217 -2.5217 4.5618
2.5217 2.5217 -4.5618
Hg As C
2 2 4
direct
0.0000 0.0000 0.0000
0.7500 0.2500 0.5000
0.2500 0.7500 0.5000
0.5000 0.5000 0.0000
0.1820 0.6250 0.0570
0.3750 0.4320 0.5570
0.5680 0.1250 0.9430
0.8750 0.8180 0.4430
```

Entry 3:
## LaMgCu2Si2 (PBE)

Data for LaMgCu2Si2 after structural relaxation.

Summary:
The spin magnetization comes out at 0.00 μB/f.u. For the total energy, the calculation gives -28.35 eV for the cell shown. As for the uncorrected formation energy: -465 meV/atom. The calculation puts the density of states at the Fermi level at 1.33 states/eV/cell.

Cell and atoms, written as POSCAR:
```
LaMgCu2Si2
1.0
4.1693 0.0000 0.0000
-2.0846 3.6107 0.0000
0.0000 0.0000 7.1459
La Mg Cu Si
1 1 2 2
direct
0.0000 0.0000 0.0000
0.0000 0.0000 0.5000
0.3333 0.6667 0.6763
0.6667 0.3333 0.3237
0.3333 0.6667 0.2801
0.6667 0.3333 0.7199
```

Entry 4:
## KMn2Au (PBE)

Data for KMn2Au after structural relaxation.

Summary:
The spin magnetization comes out at 8.30 μB/f.u. For the total energy, the calculation gives -19.59 eV for the cell shown. The formation energy is 75.4 kJ/mol of atoms. The calculation puts the density of states at the Fermi level at 4.06 states/eV/cell.

Cell and atoms, written as POSCAR:
```
KMn2Au
1.0
4.2494 0.0000 0.0000
0.0000 4.2494 0.0000
0.0000 0.0000 4.7217
K Mn Au
1 2 1
direct
0.0000 0.0000 0.0000
0.0000 0.5000 0.5000
0.5000 0.0000 0.5000
0.5000 0.5000 0.0000
```